(a)
3
Lattice="3.796 0.000 0.000 0.000 4.471 0.000 0.000 -2.236 3.872" Properties=species:S:1:pos:R:3 comment="PBE ErHfS, optimized geometry" dos_ef_per_ev_atom=0.753 crystal_system=trigonal magmom_total_mub_per_atom=0.000 sg="P3m1 (156)" pbc="T T T"
Hf 0.633 0.000 2.582
S 0.630 0.000 0.000
Er 2.533 2.236 1.291



(b)
6
Lattice="-4.853 1.343 1.208 -1.169 -1.941 -2.539 2.549 -5.657 5.431" Properties=species:S:1:pos:R:3 comment="PBE ErHfS, optimized geometry" dos_ef_per_ev_atom=0.841 crystal_system=orthorhombic magmom_total_mub_per_atom=0.000 sg="Immm (71)" pbc="T T T"
Er -0.891 -4.918 1.890
Er -2.582 -1.336 2.211
Hf -4.223 0.037 -0.364
Hf -1.799 -0.634 -0.967
S -2.744 -3.416 3.875
S -0.729 -2.839 0.226



Result of the stability comparison: (b) is the most stable of them.



(a)
8
Lattice="4.919 0.000 1.652 2.460 4.436 0.826 0.196 0.000 7.566" Properties=species:S:1:pos:R:3 comment="PBE Er2HfS5, optimized geometry" dos_ef_per_ev_atom=0.220 crystal_system=orthorhombic magmom_total_mub_per_atom=0.000 sg="Fmmm (69)" pbc="T T T"
S 1.328 2.218 4.196
S 3.111 0.747 7.038
S 4.465 0.747 3.006
S 4.465 3.689 3.006
S 3.111 3.689 7.038
Er 5.436 2.218 8.264
Er 2.139 2.218 1.780
Hf 3.788 2.218 5.022



(b)
16
Lattice="-0.039 5.119 0.672 -4.499 -1.986 -4.967 -9.103 -1.217 8.731" Properties=species:S:1:pos:R:3 comment="PBE Er2HfS5, optimized geometry" dos_ef_per_ev_atom=0.000 crystal_system=orthorhombic magmom_total_mub_per_atom=0.000 sg="Cmcm (63)" pbc="T T T"
Er -6.418 -0.515 3.546
Er -7.223 2.431 0.890
Er -9.867 -0.976 6.854
Er -3.774 2.892 -2.418
Hf -9.636 2.001 4.026
Hf -4.006 -0.085 0.410
S -7.049 2.069 3.659
S -9.770 2.319 1.591
S -3.550 0.254 -2.141
S -3.871 -0.403 2.845
S -9.197 -0.612 4.119
S -6.592 -0.153 0.777
S -10.091 1.662 6.577
S -1.555 -0.094 0.624
S -12.086 2.010 3.812
S -4.444 2.528 0.317



(c)
32
Lattice="7.222 0.000 0.000 0.000 7.679 0.000 0.000 0.000 11.523" Properties=species:S:1:pos:R:3 comment="PBE Er2HfS5, optimized geometry" crystal_system=orthorhombic magmom_total_mub_per_atom=0.000 sg="Pnma (62)" pbc="T T T"
S 6.069 4.121 6.861
S 4.998 1.920 9.131
S 1.386 5.759 8.154
S 3.987 1.920 5.797
S 2.458 0.281 10.423
S 5.836 1.920 3.369
S 5.996 5.759 3.681
S 4.764 7.398 1.100
S 1.227 1.920 7.843
S 0.375 5.759 11.487
S 6.847 1.920 0.036
S 2.384 1.920 2.081
S 4.764 4.121 1.100
S 2.225 5.759 2.392
S 2.458 3.558 10.423
S 1.153 0.281 4.662
S 1.153 3.558 4.662
S 3.236 5.759 5.726
S 4.838 5.759 9.442
S 6.069 7.398 6.861
Hf 3.058 5.759 11.461
Hf 0.553 5.759 5.699
Hf 6.669 1.920 5.824
Hf 4.164 1.920 0.062
Er 7.083 0.024 9.455
Er 3.751 3.815 3.694
Er 0.139 7.655 2.068
Er 7.083 3.815 9.455
Er 3.751 0.024 3.694
Er 0.139 3.863 2.068
Er 3.472 7.655 7.830
Er 3.472 3.863 7.830



Result of the stability comparison: (c) is the most stable of them.



(a)
4
Lattice="-1.935 -2.202 -3.540 -1.002 -3.590 2.781 -4.097 1.943 1.031" Properties=species:S:1:pos:R:3 comment="PBE ErHfSc2, optimized geometry" dos_ef_per_ev_atom=1.589 crystal_system=tetragonal magmom_total_mub_per_atom=0.000 sg="P4/mmm (123)" pbc="T T T"
Sc -2.048 0.971 0.516
Sc -0.501 -1.795 1.390
Er -0.967 -1.101 -1.770
Hf -3.517 -1.924 0.136



(b)
4
Lattice="-2.132 -1.060 -2.288 0.366 -2.998 -1.335 -6.713 -5.496 6.417" Properties=species:S:1:pos:R:3 comment="PBE ErHfSc2, optimized geometry" dos_ef_per_ev_atom=1.725 crystal_system=trigonal magmom_total_mub_per_atom=0.000 sg="R3m (160)" pbc="T T T"
Sc -2.032 -2.329 0.589
Sc -5.273 -4.522 4.624
Hf -1.187 -2.712 -2.403
Er -4.226 -4.768 1.380



Result of the stability comparison: (b) is the most stable of them.



(a)
8
Lattice="3.258 0.000 0.000 0.000 6.423 1.150 0.001 1.543 9.831" Properties=species:S:1:pos:R:3 comment="PBE ErHfSc2, optimized geometry" dos_ef_per_ev_atom=1.610 crystal_system=monoclinic magmom_total_mub_per_atom=0.000 sg="P2/m (10)" pbc="T T T"
Hf 0.920 3.266 2.762
Hf 0.920 6.477 3.337
Er 0.920 2.432 7.389
Er 0.922 5.643 7.964
Sc 2.551 3.586 10.171
Sc 2.550 6.798 10.746
Sc 2.550 1.277 4.607
Sc 2.549 4.489 5.182



(b)
4
Lattice="-3.115 0.638 -4.126 1.731 -1.160 -4.774 -1.879 -4.158 -2.513" Properties=species:S:1:pos:R:3 comment="PBE ErHfSc2, optimized geometry" dos_ef_per_ev_atom=2.074 crystal_system=cubic magmom_total_mub_per_atom=0.137 sg="Fm-3m (225)" pbc="T T T"
Sc -0.816 -1.170 -2.853
Sc -2.447 -3.509 -8.559
Hf 0.000 0.000 0.000
Er -1.632 -2.340 -5.706



(c)
4
Lattice="-1.351 2.836 0.952 -1.713 0.145 2.796 7.952 3.465 6.619" Properties=species:S:1:pos:R:3 comment="PBE ErHfSc2, optimized geometry" dos_ef_per_ev_atom=1.470 crystal_system=trigonal magmom_total_mub_per_atom=0.000 sg="R-3m (166)" pbc="T T T"
Sc 3.525 4.795 7.691
Sc 1.363 1.650 2.676
Er 0.000 0.000 0.000
Hf 2.444 3.223 5.184



Result of the stability comparison: (a) is the most stable of them.



(a)
6
Lattice="-0.699 1.575 2.831 0.349 -4.467 2.572 8.860 0.633 -0.105" Properties=species:S:1:pos:R:3 comment="PBE ErHfSc4, optimized geometry" dos_ef_per_ev_atom=1.785 crystal_system=orthorhombic magmom_total_mub_per_atom=0.000 sg="Amm2 (38)" pbc="T T T"
Er 3.784 1.258 1.697
Sc 7.036 0.954 0.729
Sc 5.945 -0.644 3.290
Sc 0.526 1.561 2.667
Sc 3.207 -1.947 1.397
Hf 0.169 -1.608 2.402



(b)
12
Lattice="-1.013 -2.708 5.231 6.919 -2.864 -3.784 0.642 7.398 2.360" Properties=species:S:1:pos:R:3 comment="PBE ErHfSc4, optimized geometry" dos_ef_per_ev_atom=1.816 crystal_system=monoclinic magmom_total_mub_per_atom=0.000 sg="C2/c (15)" pbc="T T T"
Sc 2.234 -1.440 3.163
Sc 0.262 0.825 3.829
Sc 1.955 1.315 1.123
Sc 6.286 1.001 -0.022
Sc 4.314 3.266 0.644
Sc 5.000 -3.134 2.473
Sc 4.593 0.512 2.685
Sc 1.549 4.960 1.334
Er 2.719 3.136 3.857
Er 3.829 -1.310 -0.050
Hf 7.290 3.835 -0.131
Hf -0.742 -2.009 3.938



Result of the stability comparison: (a) is the most stable of them.



(a)
9
Lattice="1.172 1.948 2.428 -2.970 -1.462 0.328 10.534 -19.103 10.246" Properties=species:S:1:pos:R:3 comment="PBE Er2HfSc6, optimized geometry" dos_ef_per_ev_atom=1.621 crystal_system=hexagonal magmom_total_mub_per_atom=0.273 sg="P-6m2 (187)" pbc="T T T"
Hf 0.000 0.000 0.000
Er 5.519 -13.215 7.941
Er 1.837 -6.538 4.360
Sc 5.926 -10.746 5.764
Sc -0.507 -2.288 2.081
Sc 2.223 -4.032 2.163
Sc 7.862 -17.465 10.221
Sc 8.311 -15.071 8.083
Sc 4.608 -8.357 4.482



(b)
9
Lattice="3.285 0.000 0.000 0.000 8.959 0.000 0.000 -4.479 7.758" Properties=species:S:1:pos:R:3 comment="PBE Er2HfSc6, optimized geometry" dos_ef_per_ev_atom=1.630 crystal_system=hexagonal magmom_total_mub_per_atom=0.000 sg="P-62m (189)" pbc="T T T"
Sc 0.000 1.324 2.293
Sc 1.643 3.087 0.000
Sc 0.000 -3.156 5.466
Sc 1.643 -1.543 2.673
Sc 0.000 6.311 0.000
Sc 1.643 2.936 5.085
Hf 1.643 0.000 0.000
Er 0.000 4.479 2.586
Er 0.000 0.000 5.172



Result of the stability comparison: (b) is the most stable of them.